Entry 1:
Density functional theory data (PBEsol) for a geometry-optimized Hg2MoP structure.

```
data_Hg2MoP
_cell_length_a 3.527
_cell_length_b 4.488
_cell_length_c 9.104
_cell_angle_alpha 90.00
_cell_angle_beta 90.00
_cell_angle_gamma 90.00
_space_group_name_H-M_alt 'C m m m'
_space_group_IT_number 65
_space_group_name_Hall '-C 2 2'
loop_
_atom_site_label
_atom_site_type_symbol
_atom_site_fract_x
_atom_site_fract_y
_atom_site_fract_z
Hg1 Hg 0.000 0.000 0.247
Mo1 Mo 0.000 0.500 0.000
P1 P 0.000 0.500 0.500
```

Results
- distance to the lowest polymorph of the same formula (meV per atom) = 441
- formation energy from the elements (eV/atom) = 0.67
- crystal system = orthorhombic

---

Entry 2:
Density functional theory data (PBEsol) for a geometry-optimized HgMo2P structure.

```
data_HgMo2P
_cell_length_a 3.4810
_cell_length_b 3.4810
_cell_length_c 19.5120
_cell_angle_alpha 90.00
_cell_angle_beta 90.00
_cell_angle_gamma 120.00
_space_group_name_H-M_alt 'R -3 m'
_space_group_IT_number 166
_space_group_name_Hall '-R 3 2"'
loop_
_atom_site_label
_atom_site_type_symbol
_atom_site_fract_x
_atom_site_fract_y
_atom_site_fract_z
Hg1 Hg 0.0000 0.0000 0.0000
Mo1 Mo 0.0000 0.0000 0.2257
P1 P 0.0000 0.0000 0.5000
```

Results
- distance to the lowest polymorph of the same formula (meV per atom) = 0
- formation energy from the elements (eV/atom) = 0.08
- crystal system = trigonal

---

Entry 3:
Density functional theory data (PBEsol) for a geometry-optimized HgMo2P structure.

```
data_HgMo2P
_cell_length_a 3.874
_cell_length_b 3.874
_cell_length_c 8.320
_cell_angle_alpha 90.00
_cell_angle_beta 90.00
_cell_angle_gamma 90.00
_space_group_name_H-M_alt 'I -4 m 2'
_space_group_IT_number 119
_space_group_name_Hall 'I -4 -2'
loop_
_atom_site_label
_atom_site_type_symbol
_atom_site_fract_x
_atom_site_fract_y
_atom_site_fract_z
Hg1 Hg 0.000 0.000 0.000
Mo1 Mo 0.000 0.000 0.500
Mo2 Mo 0.000 0.500 0.250
P1 P 0.000 0.500 0.750
```

Results
- distance to the lowest polymorph of the same formula (meV per atom) = 436
- formation energy from the elements (eV/atom) = 0.51
- crystal system = tetragonal

---

Entry 4:
Density functional theory data (PBEsol) for a geometry-optimized Hg4MoP structure.

```
data_Hg4MoP
_cell_length_a 7.933
_cell_length_b 7.933
_cell_length_c 7.933
_cell_angle_alpha 90.00
_cell_angle_beta 90.00
_cell_angle_gamma 90.00
_space_group_name_H-M_alt 'F -4 3 m'
_space_group_IT_number 216
_space_group_name_Hall 'F -4 2 3'
loop_
_atom_site_label
_atom_site_type_symbol
_atom_site_fract_x
_atom_site_fract_y
_atom_site_fract_z
Hg1 Hg 0.125 0.125 0.125
Mo1 Mo 0.000 0.000 0.500
P1 P 0.250 0.250 0.750
```

Results
- formation energy from the elements (eV/atom) = 0.92
- crystal system = cubic

---

Entry 5:
Density functional theory data (PBEsol) for a geometry-optimized Hg2MoP structure.

```
data_Hg2MoP
_cell_length_a 3.812
_cell_length_b 3.812
_cell_length_c 4.846
_cell_angle_alpha 90.00
_cell_angle_beta 90.00
_cell_angle_gamma 90.00
_space_group_name_H-M_alt 'P 4/m m m'
_space_group_IT_number 123
_space_group_name_Hall '-P 4 2'
loop_
_atom_site_label
_atom_site_type_symbol
_atom_site_fract_x
_atom_site_fract_y
_atom_site_fract_z
Hg1 Hg 0.000 0.500 0.000
Mo1 Mo 0.000 0.000 0.500
P1 P 0.500 0.500 0.500
```

Results
- distance to the lowest polymorph of the same formula (meV per atom) = 368
- formation energy from the elements (eV/atom) = 0.59
- crystal system = tetragonal

---

Entry 6:
Density functional theory data (PBEsol) for a geometry-optimized HgMo2P structure.

```
data_HgMo2P
_cell_length_a 4.420
_cell_length_b 2.974
_cell_length_c 10.079
_cell_angle_alpha 90.00
_cell_angle_beta 90.00
_cell_angle_gamma 90.00
_space_group_name_H-M_alt 'A m m 2'
_space_group_IT_number 38
loop_
_space_group_symop_operation_xyz
'x,y,z'
'-x,-y,z'
'-x,y,z'
'x,-y,z'
'x,y+1/2,z+1/2'
'-x,-y+1/2,z+1/2'
'-x,y+1/2,z+1/2'
'x,-y+1/2,z+1/2'
loop_
_atom_site_label
_atom_site_type_symbol
_atom_site_fract_x
_atom_site_fract_y
_atom_site_fract_z
Hg1 Hg 0.000 0.000 0.000
Mo1 Mo 0.000 0.000 0.736
Mo2 Mo 0.500 0.000 0.352
P1 P 0.500 0.000 0.662
```

Results
- distance to the lowest polymorph of the same formula (meV per atom) = 104
- formation energy from the elements (eV/atom) = 0.18
- crystal system = orthorhombic

---

Entry 7:
Density functional theory data (PBEsol) for a geometry-optimized HgMoP2 structure.

```
data_HgMoP2
_cell_length_a 8.260
_cell_length_b 3.118
_cell_length_c 5.202
_cell_angle_alpha 90.00
_cell_angle_beta 96.67
_cell_angle_gamma 90.00
_space_group_name_H-M_alt 'C 1 2/m 1'
_space_group_IT_number 12
loop_
_space_group_symop_operation_xyz
'x,y,z'
'-x,-y,-z'
'-x,y,-z'
'x,-y,z'
'x+1/2,y+1/2,z'
'-x+1/2,-y+1/2,-z'
'-x+1/2,y+1/2,-z'
'x+1/2,-y+1/2,z'
loop_
_atom_site_label
_atom_site_type_symbol
_atom_site_fract_x
_atom_site_fract_y
_atom_site_fract_z
Hg1 Hg 0.000 0.000 0.000
Mo1 Mo 0.000 0.500 0.500
P1 P 0.221 0.000 0.668
```

Results
- formation energy from the elements (eV/atom) = 0.08
- crystal system = monoclinic

---

Entry 8:
Density functional theory data (PBEsol) for a geometry-optimized Hg2MoP structure.

```
data_Hg2MoP
_cell_length_a 3.290
_cell_length_b 4.627
_cell_length_c 10.286
_cell_angle_alpha 90.00
_cell_angle_beta 90.00
_cell_angle_gamma 90.00
_space_group_name_H-M_alt 'C m m 2'
_space_group_IT_number 35
loop_
_space_group_symop_operation_xyz
'x,y,z'
'-x,-y,z'
'-x,y,z'
'x,-y,z'
'x+1/2,y+1/2,z'
'-x+1/2,-y+1/2,z'
'-x+1/2,y+1/2,z'
'x+1/2,-y+1/2,z'
loop_
_atom_site_label
_atom_site_type_symbol
_atom_site_fract_x
_atom_site_fract_y
_atom_site_fract_z
Hg1 Hg 0.000 0.000 0.000
Hg2 Hg 0.000 0.500 0.297
Mo1 Mo 0.000 0.500 0.762
P1 P 0.000 0.000 0.596
```

Results
- distance to the lowest polymorph of the same formula (meV per atom) = 0
- formation energy from the elements (eV/atom) = 0.23
- crystal system = orthorhombic

---

Number 1: density of states at the Fermi level 5.87 states/eV per cell. Number 2: density of states at the Fermi level 9.04 states/eV per cell. Number 3: density of states at the Fermi level 6.96 states/eV per cell. Number 4: density of states at the Fermi level 9.63 states/eV per cell. Number 5: density of states at the Fermi level 3.49 states/eV per cell. Number 6: density of states at the Fermi level 4.82 states/eV per cell. Number 7: density of states at the Fermi level 4.96 states/eV per cell. Number 8: density of states at the Fermi level 4.80 states/eV per cell.